{"formula": "CaAsP", "functional": "PBE", "state": "optimized geometry", "cell": [[4.325, 0.000, 0.000], [0.000, 4.070, 0.000], [-0.930, 0.000, 8.140]], "species": ["Ca", "Ca", "As", "As", "P", "P"], "frac_coords": [[0.000, 0.000, 0.000], [0.412, 0.500, 0.635], [0.782, 0.000, 0.346], [0.911, 0.000, 0.639], [0.441, 0.500, 0.267], [0.500, 0.500, 0.007]], "mass_density_g_cm3": 3.4, "formation_energy_mev_per_atom": -661, "relative_energy_kj_per_mol_atoms": 6.2}